(1)
Compound: NiBiMo3
Source: the Alexandria database
Functional: GGA-PBE
Structure: relaxed

Summary:
ΔE to the lowest computed polymorph (meV/atom): 0
Formation enthalpy at 0 K (eV/atom): 1.22
Magnetic moment (μB/atom): 0.000
E_tot (eV per atom): -7.21

The structure in CIF format:
```
data_NiBiMo3
_chemical_formula_sum 'Ni1 Bi1 Mo3'
_cell_length_a 4.5785
_cell_length_b 4.5785
_cell_length_c 4.5785
_cell_angle_alpha 90.00
_cell_angle_beta 90.00
_cell_angle_gamma 90.00
_symmetry_space_group_name_H-M 'P m -3 m'
_symmetry_Int_Tables_number 221
_symmetry_space_group_name_Hall '-P 4 2 3'
loop_
_atom_site_label
_atom_site_fract_x
_atom_site_fract_y
_atom_site_fract_z
Ni1 0.0000 0.0000 0.0000
Bi1 0.5000 0.5000 0.5000
Mo1 0.0000 0.0000 0.5000
```

---

(2)
Compound: DyThHgAu
Source: the Alexandria database
Functional: GGA-PBE
Structure: relaxed

Summary:
ΔE to the lowest computed polymorph (meV/atom): 48
Formation enthalpy at 0 K (eV/atom): -0.48
Magnetic moment (μB/atom): 0.157
E_tot (eV per atom): -4.38

The structure in CIF format:
```
data_DyThHgAu
_chemical_formula_sum 'Dy4 Th4 Hg4 Au4'
_cell_length_a 7.4503
_cell_length_b 7.4503
_cell_length_c 7.4503
_cell_angle_alpha 90.00
_cell_angle_beta 90.00
_cell_angle_gamma 90.00
_symmetry_space_group_name_H-M 'F -4 3 m'
_symmetry_Int_Tables_number 216
_symmetry_space_group_name_Hall 'F -4 2 3'
loop_
_atom_site_label
_atom_site_fract_x
_atom_site_fract_y
_atom_site_fract_z
Dy1 0.0000 0.0000 0.0000
Th1 0.0000 0.0000 0.5000
Hg1 0.2500 0.2500 0.2500
Au1 0.2500 0.2500 0.7500
```

---

(3)
Compound: Pm12Sm3Ho
Source: the Alexandria database
Functional: GGA-PBE
Structure: relaxed

Summary:
Formation enthalpy at 0 K (eV/atom): 0.01
Magnetic moment (μB/atom): 0.000
E_tot (eV per atom): -4.72

The structure in CIF format:
```
data_Pm12Sm3Ho
_chemical_formula_sum 'Pm12 Sm3 Ho1'
_cell_length_a 5.1433
_cell_length_b 5.1433
_cell_length_c 20.5615
_cell_angle_alpha 90.00
_cell_angle_beta 90.00
_cell_angle_gamma 90.00
_symmetry_space_group_name_H-M 'P 4/m m m'
_symmetry_Int_Tables_number 123
_symmetry_space_group_name_Hall '-P 4 2'
loop_
_atom_site_label
_atom_site_fract_x
_atom_site_fract_y
_atom_site_fract_z
Pm1 0.0000 0.0000 0.0000
Pm2 0.0000 0.0000 0.2488
Pm3 0.0000 0.0000 0.5000
Pm4 0.0000 0.5000 0.1237
Pm5 0.0000 0.5000 0.3745
Sm1 0.5000 0.5000 0.2490
Sm2 0.5000 0.5000 0.5000
Ho1 0.5000 0.5000 0.0000
```

---

(4)
Compound: SrMnV3
Source: the Alexandria database
Functional: GGA-PBE
Structure: relaxed

Summary:
ΔE to the lowest computed polymorph (meV/atom): 1745
Formation enthalpy at 0 K (eV/atom): 2.49
Magnetic moment (μB/atom): 0.857
E_tot (eV per atom): -5.15

The structure in CIF format:
```
data_SrMnV3
_chemical_formula_sum 'Sr1 Mn1 V3'
_cell_length_a 4.5431
_cell_length_b 4.5431
_cell_length_c 4.5431
_cell_angle_alpha 90.00
_cell_angle_beta 90.00
_cell_angle_gamma 90.00
_symmetry_space_group_name_H-M 'P m -3 m'
_symmetry_Int_Tables_number 221
_symmetry_space_group_name_Hall '-P 4 2 3'
loop_
_atom_site_label
_atom_site_fract_x
_atom_site_fract_y
_atom_site_fract_z
Sr1 0.0000 0.0000 0.0000
Mn1 0.5000 0.5000 0.5000
V1 0.0000 0.0000 0.5000
```

---

(5)
Compound: TlCdNi2
Source: the Alexandria database
Functional: GGA-PBE
Structure: relaxed

Summary:
Formation enthalpy at 0 K (eV/atom): 0.24
Magnetic moment (μB/atom): 0.000
E_tot (eV per atom): -3.47

The structure in CIF format:
```
data_TlCdNi2
_chemical_formula_sum 'Tl2 Cd2 Ni4'
_cell_length_a 3.1305
_cell_length_b 4.4129
_cell_length_c 9.5490
_cell_angle_alpha 90.00
_cell_angle_beta 90.00
_cell_angle_gamma 90.00
_symmetry_space_group_name_H-M 'I m m 2'
_symmetry_Int_Tables_number 44
loop_
_symmetry_equiv_pos_as_xyz
'x,y,z'
'-x,-y,z'
'-x,y,z'
'x,-y,z'
'x+1/2,y+1/2,z+1/2'
'-x+1/2,-y+1/2,z+1/2'
'-x+1/2,y+1/2,z+1/2'
'x+1/2,-y+1/2,z+1/2'
loop_
_atom_site_label
_atom_site_fract_x
_atom_site_fract_y
_atom_site_fract_z
Tl1 0.0000 0.0000 0.0000
Cd1 0.0000 0.5000 0.7826
Ni1 0.0000 0.0000 0.5440
Ni2 0.0000 0.5000 0.2480
```